(1)
VASP calculation (PBE) on a relaxed structure of Y3Ga4Pd7.

```
Y3Ga4Pd7
1.0
4.022 0.000 1.015
1.475 7.509 2.633
0.015 0.009 8.420
Y Ga Pd
3 4 7
direct
0.326 0.180 0.167
0.674 0.820 0.833
0.000 0.500 0.500
0.662 0.447 0.229
0.338 0.553 0.771
0.887 0.891 0.335
0.113 0.109 0.665
0.308 0.845 0.539
0.495 0.224 0.786
0.838 0.399 0.925
0.692 0.155 0.461
0.162 0.601 0.075
0.000 0.000 0.000
0.505 0.776 0.214
```

magnetization: 0.0000 μB per atom
space-group type: C2/m



(2)
VASP calculation (PBE) on a relaxed structure of Pa3Al7Au4.

```
Pa3Al7Au4
1.0
4.201 0.000 1.060
1.551 7.675 2.706
0.095 0.061 8.478
Pa Al Au
3 7 4
direct
0.317 0.185 0.181
0.683 0.815 0.819
0.000 0.500 0.500
0.326 0.812 0.536
0.501 0.208 0.790
0.848 0.377 0.928
0.674 0.188 0.464
0.152 0.623 0.072
0.000 0.000 0.000
0.499 0.792 0.210
0.655 0.471 0.219
0.345 0.529 0.781
0.870 0.905 0.356
0.130 0.095 0.644
```

magnetization: 0.0539 μB per atom
space-group type: C2/m



Number 1: formation energy from the elements -0.854 eV per atom. Number 2: formation energy from the elements -0.435 eV per atom.